Record 1
Computed, not measured: an optimized crystal structure of TmIn3Pd at the PBE-GGA level of DFT.

a b c (Å): 4.5230 7.3009 7.1488
angles (deg): 90.00 90.00 90.00
Fractional positions:
In1 0.2500 0.9557 0.3078
In2 0.2500 0.2500 0.9497
In3 0.2500 0.5443 0.3078
In4 0.7500 0.7500 0.0503
In5 0.7500 0.4557 0.6922
In6 0.7500 0.0443 0.6922
Pd1 0.2500 0.2500 0.5652
Pd2 0.7500 0.7500 0.4348
Tm1 0.7500 0.2500 0.2688
Tm2 0.2500 0.7500 0.7312

Summary:
* energy relative to the elements: -0.38 eV/atom
* space group: Pmmn, No. 59

***

Record 2
Computed, not measured: an optimized crystal structure of LaSc2Ti at the PBE-GGA level of DFT.

a b c (Å): 7.0708 7.0708 7.1021
angles (deg): 60.15 60.15 90.00
Fractional positions:
La1 0.7500 0.2500 0.5000
La2 0.0000 0.0000 0.0000
Sc1 0.3750 0.6250 0.7500
Sc2 0.8750 0.6250 0.7500
Sc3 0.3750 0.6250 0.2500
Sc4 0.3750 0.1250 0.2500
Ti1 0.2500 0.7500 0.5000
Ti2 0.5000 0.5000 0.0000

Summary:
* energy relative to the elements: 1.24 eV/atom
* space group: I4_1/amd, No. 141
* offset from the most stable computed form: 1.082 eV/atom

***

What is the energy relative to the elements in the second record? 1.24 eV/atom